# PaTiZn4

PaTiZn4 after structural relaxation (PBE-GGA, Alexandria via LeMat-Bulk).

Cell lengths 5.2758, 5.2758, 5.2758 Å; angles 60.00, 60.00, 60.00 degrees
Last column: nearest neighbours and their distance in Å.
Fractional coordinates of all 6 atoms:
Pa 0.0000 0.0000 0.0000  12 Zn 3.10, 4 Ti 3.23
Ti 0.2500 0.2500 0.2500  12 Zn 3.09, 4 Pa 3.23
Zn 0.1281 0.6240 0.6240  6 Zn 2.62-2.66
Zn 0.6240 0.1281 0.6240  6 Zn 2.62-2.66
Zn 0.6240 0.6240 0.1281  6 Zn 2.62-2.66
Zn 0.6240 0.6240 0.6240  6 Zn 2.62-2.66

## Properties
Energy of formation (eV/atom): -0.1103
Volume (Å³/cell): 103.8
Calculated density (kg/m³): 8644
DFT total energy (eV per atom): -3.8581